(1)
VASP calculation (GGA-PBE) on LaPrSmIn after structural relaxation.

The volume is 512 Å³/cell. The formation energy comes out at -0.15 eV/atom. As for the magnetic moment: 0.256 μB per atom.

Structure (CIF):
```
data_LaPrSmIn
_symmetry_space_group_name_H-M 'F -4 3 m'
_symmetry_Int_Tables_number 216
_symmetry_space_group_name_Hall 'F -4 2 3'
_cell_length_a 7.999
_cell_length_b 7.999
_cell_length_c 7.999
_cell_angle_alpha 90.00
_cell_angle_beta 90.00
_cell_angle_gamma 90.00
loop_
_atom_site_label
_atom_site_fract_x
_atom_site_fract_y
_atom_site_fract_z
_atom_site_occupancy
La1 0.000 0.000 0.000 1
Pr1 0.000 0.000 0.500 1
Sm1 0.250 0.250 0.750 1
In1 0.250 0.250 0.250 1
```

(2)
VASP calculation (GGA-PBE) on La2Pr5SmIn after structural relaxation.

The volume is 1270 Å³/cell. The formation energy comes out at -0.03 eV/atom. As for the magnetic moment: 0.000 μB per atom.

Structure (CIF):
```
data_La2Pr5SmIn
_symmetry_space_group_name_H-M 'C m c 21'
_symmetry_Int_Tables_number 36
_cell_length_a 5.656
_cell_length_b 20.405
_cell_length_c 11.005
_cell_angle_alpha 90.00
_cell_angle_beta 90.00
_cell_angle_gamma 90.00
loop_
_symmetry_equiv_pos_as_xyz
'x,y,z'
'-x,-y,z+1/2'
'-x,y,z'
'x,-y,z+1/2'
'x+1/2,y+1/2,z'
'-x+1/2,-y+1/2,z+1/2'
'-x+1/2,y+1/2,z'
'x+1/2,-y+1/2,z+1/2'
loop_
_atom_site_label
_atom_site_fract_x
_atom_site_fract_y
_atom_site_fract_z
_atom_site_occupancy
La1 0.000 0.117 0.000 1
La2 0.000 0.118 0.409 1
Pr1 0.000 0.013 0.704 1
Pr2 0.000 0.288 0.009 1
Pr3 0.000 0.289 0.400 1
Pr4 0.000 0.382 0.704 1
Pr5 0.000 0.500 0.454 1
Sm1 0.000 0.199 0.705 1
In1 0.000 0.406 0.204 1
```